Density functional theory data (PBE) for a relaxed structure of CsHg3PbS4.

Properties
calculated total energy = -2.57 eV/atom
V = 325.9 Å³/f.u.
crystal system = cubic

a = 6.8820 Å, b = 6.8820 Å, c = 6.8820 Å
α = 90.00°, β = 90.00°, γ = 90.00°
Positions (direct):
Cs (0.0000, 0.0000, 0.0000)
Hg (0.5000, 0.5000, 0.0000)
Hg (0.5000, 0.0000, 0.5000)
Hg (0.0000, 0.5000, 0.5000)
Pb (0.5000, 0.5000, 0.5000)
S (0.2729, 0.2729, 0.2729)
S (0.7271, 0.7271, 0.2729)
S (0.7271, 0.2729, 0.7271)
S (0.2729, 0.7271, 0.7271)